(1)
Entry from OQMD: an optimized crystal structure of K2Hg2O5 (PBE-GGA).

a = 4.701 Å, b = 4.701 Å, c = 7.587 Å
α = 90.00°, β = 90.00°, γ = 90.00°
Atoms (fractional coordinates):
O (0.000, 0.500, 0.598)
O (0.500, 0.000, 0.402)
Hg (0.000, 0.000, 0.500)
K (0.500, 0.500, 0.204)
Hg (0.000, 0.000, 0.000)
K (0.500, 0.500, 0.796)
O (0.500, 0.500, 0.500)
O (0.500, 0.000, 0.598)
O (0.000, 0.500, 0.402)

Output
- SG = P4/mmm (123)
- total energy (eV/atom) = -2.82

=====

(2)
Entry from OQMD: an optimized crystal structure of KHg3OsO4 (PBE-GGA).

a = 5.787 Å, b = 5.787 Å, c = 5.787 Å
α = 90.00°, β = 90.00°, γ = 90.00°
Site moments in Bohr magnetons follow the coordinates.
Atoms (fractional coordinates):
Hg (0.500, 0.000, 0.500)  0.01
O (0.284, 0.284, 0.284)  0.33
O (0.284, 0.716, 0.716)  0.32
Os (0.500, 0.500, 0.500)  3.15
Hg (0.500, 0.500, 0.000)  0.02
K (0.000, 0.000, 0.000)  0.01
Hg (0.000, 0.500, 0.500)  0.01
O (0.716, 0.716, 0.284)  0.33
O (0.716, 0.284, 0.716)  0.32

Output
- SG = P-43m (215)
- total energy (eV/atom) = -3.65

=====

(3)
Entry from OQMD: an optimized crystal structure of KHgPO (PBE-GGA).

a = 4.365 Å, b = 4.365 Å, c = 9.205 Å
α = 90.00°, β = 90.00°, γ = 90.00°
Atoms (fractional coordinates):
P (0.750, 0.750, 0.047)
K (0.750, 0.250, 0.500)
K (0.250, 0.750, 0.500)
P (0.250, 0.250, 0.953)
O (0.750, 0.250, 0.000)
O (0.250, 0.750, 0.000)
Hg (0.250, 0.250, 0.234)
Hg (0.750, 0.750, 0.766)

Output
- SG = P4/nmm (129)
- total energy (eV/atom) = -2.83